A relaxed structure of ZnReIr. Source: Alexandria via LeMat-Bulk, functional PBE.

abc: 4.1576 4.1576 4.1576
angles: 60.00 60.00 60.00
Closest atoms and distances in Å follow each position.
Fractional positions:
Zn (0.0000, 0.0000, 0.0000)  4 Ir 2.55
Re (0.5000, 0.5000, 0.5000)  4 Ir 2.55
Ir (0.2500, 0.2500, 0.2500)  4 Re 2.55, 4 Zn 2.55

Values from the calculation:
N(E_F) (states/eV/cell): 1.24
Energy of formation from the pure elements (kJ/mol of atoms): 19